Compound: CuOs3S
Source: Alexandria
Functional: PBE-GGA
Structure: relaxed

a b c (Å): 4.4674 4.4674 4.4674
angles (deg): 90.00 90.00 90.00
Last column: nearest neighbours and their distance in Å.
Element x y z (fractional)
S 0.5000 0.5000 0.5000  12 Os 3.16
Os 0.0000 0.5000 0.0000  2 Cu 2.23
Os 0.0000 0.0000 0.5000  2 Cu 2.23
Os 0.5000 0.0000 0.0000  2 Cu 2.23
Cu 0.0000 0.0000 0.0000  6 Os 2.23

Volume   89.2 Å³/cell
Energy above the most stable polymorph in this dataset   1289 meV/atom
E_form (uncorrected)   2.546 eV/atom